8
Lattice="2.110 1.218 11.065 -2.110 1.218 11.065 0.000 -2.436 11.065" Properties=species:S:1:pos:R:3 comment="ZnBiSbO (GGA-PBE, optimized geometry)" relative_energy_mev_per_atom=98 vol_a3_per_atom=21.3 pbc="T T T"
Zn 0.000 0.000 6.378
Zn 0.000 0.000 26.817
Bi 0.000 0.000 12.499
Bi 0.000 0.000 20.696
Sb 0.000 0.000 3.603
Sb 0.000 0.000 29.591
O 0.000 0.000 10.225
O 0.000 0.000 22.970